# 1
DFT (GGA-PBE) results for ReHgP2S after structural relaxation.

For the density of states at the Fermi level, the calculation gives 3.997 states/eV/f.u. The value obtained for the energy above the most stable polymorph in this dataset is 1.582 eV/atom. As for the formation energy (no corrections): 2079 meV per atom. As for the uncorrected energy: -17.30 eV for the cell shown.

Cell lengths 4.930, 4.930, 4.875 Å; angles 90.00, 90.00, 90.00 degrees
Space group P4/mmm (No. 123)
Asymmetric unit:
Re1 0.000 0.000 0.000 (multiplicity 1)
Hg1 0.500 0.500 0.500 (multiplicity 1)
P1 0.000 0.500 0.500 (multiplicity 2)
S1 0.500 0.500 0.000 (multiplicity 1)



# 2
DFT (GGA-PBE) results for ZnCr2S after structural relaxation.

For the density of states at the Fermi level, the calculation gives 6.729 states/eV/f.u. The value obtained for the energy above the most stable polymorph in this dataset is 0.134 eV/atom. As for the formation energy (no corrections): 418 meV per atom. As for the uncorrected energy: -91.90 eV for the cell shown.

Cell lengths 5.795, 5.795, 5.795 Å; angles 90.00, 90.00, 90.00 degrees
Space group Fm-3m (No. 225)
Asymmetric unit:
Zn1 0.000 0.000 0.000 (multiplicity 4)
Cr1 0.250 0.250 0.250 (multiplicity 8)
S1 0.000 0.000 0.500 (multiplicity 4)